First-principles (PBE) data for crystalline Cu9Ag at its relaxed geometry, as listed in OQMD.

Calculated values
Energy above the most stable polymorph in this dataset, meV per atom: 0.9
Symmetry: Cmmm (65)
Energy of formation from the pure elements, meV per atom: 37
Calculated density, g cm⁻³: 9.10
Calculated total energy, eV per cell: -35.91

Cell lengths 9.316, 9.316, 3.686 Å; angles 90.00, 90.00, 157.18 degrees
Element x y z (fractional)
Cu (0.000, 0.000, 0.000)
Cu (0.106, 0.894, 0.500)
Cu (0.202, 0.798, 0.000)
Cu (0.298, 0.702, 0.500)
Cu (0.394, 0.606, 0.000)
Cu (0.606, 0.394, 0.000)
Cu (0.702, 0.298, 0.500)
Cu (0.798, 0.202, 0.000)
Cu (0.894, 0.106, 0.500)
Ag (0.500, 0.500, 0.500)